Pr2Nd2DyHo, optimized geometry, DFT PBE; formation energy from the elements = 0.058 eV per atom; raw total energy = -27.9 eV/f.u.
1.0
5.753 0.000 0.000
0.000 7.118 0.000
0.000 0.000 9.963
Dy Nd Ho Pr
2 4 2 4
direct
0.500 0.257 0.659
0.500 0.757 0.341
0.000 0.758 0.164
0.500 0.258 0.332
0.000 0.258 0.836
0.500 0.758 0.668
0.000 0.007 0.500
0.000 0.507 0.500
0.500 0.008 0.000
0.000 0.758 0.823
0.500 0.508 0.000
0.000 0.258 0.177



YHfZr2Pd, optimized geometry, DFT PBE; formation energy from the elements = 1.016 eV per atom; raw total energy = -33.6 eV/f.u.
1.0
5.110 0.000 0.000
0.000 5.502 0.000
0.000 0.000 5.110
Y Zr Hf Pd
1 2 1 1
direct
0.000 0.500 0.000
0.500 0.000 0.000
0.000 0.000 0.500
0.000 0.000 0.000
0.500 0.500 0.500



TbThBe2Si2, optimized geometry, DFT PBE; uncorrected formation energy = -653 meV per atom; raw total energy = -34.3 eV/f.u.
1.0
3.909 0.000 0.000
-1.955 3.386 0.000
0.000 0.000 8.307
Si Th Tb Be
2 1 1 2
direct
0.667 0.333 0.742
0.333 0.667 0.258
0.000 0.000 0.000
0.000 0.000 0.500
0.667 0.333 0.256
0.333 0.667 0.744